First-principles (GGA-PBE) data for a geometry-optimized CdNiHg2 structure, as listed in Alexandria via LeMat-Bulk.

Properties
- formation enthalpy at 0 K (eV/atom) = 0.275
- volume (Å³/f.u.) = 76.6

Cell lengths 6.741, 6.741, 6.741 Å; angles 90.00, 90.00, 90.00 degrees
Space group F-43m (No. 216)
Inequivalent atoms, fractional coordinates:
Cd1 0.000 0.000 0.000
Ni1 0.250 0.250 0.750
Hg1 0.000 0.000 0.500
Hg2 0.250 0.250 0.250